# TbThCuNi

A relaxed TbThCuNi crystal (PBE-GGA, Alexandria via LeMat-Bulk).

a b c (Å): 4.2952 3.6990 10.9637
angles (deg): 90.00 90.00 90.00
Space group Amm2 (No. 38)
Symmetry-distinct sites (fractional):
Tb  0.0000  0.0000  0.0000
Th  0.5000  0.0000  0.7274
Cu  0.5000  0.0000  0.4374
Ni  0.0000  0.0000  0.2782

Summary:
The density is 9.78 g/cm3. Its energy above the most stable polymorph in this dataset is 0.0 kJ/mol of atoms. The energy relative to the elements comes out at -1.281 eV per formula unit.

# Er8InGe3Te4

A relaxed Er8InGe3Te4 crystal (PBE-GGA, Alexandria via LeMat-Bulk).

a b c (Å): 8.4458 8.4458 21.3416
angles (deg): 90.00 90.00 120.00
Space group R-3m (No. 166, hexagonal axes)
Symmetry-distinct sites (fractional):
Er  0.0000  0.0000  0.2384
Er  0.0107  0.5053  0.7572
In  0.0000  0.0000  0.5000
Ge  0.0000  0.5000  0.5000
Te  0.0000  0.0000  0.0000
Te  0.0000  0.5000  0.0000

Summary:
The density is 8.24 g/cm3. The value obtained for the formation energy without anion corrections is -16.579 eV/f.u.

# PrSmGe2Pt5

A relaxed PrSmGe2Pt5 crystal (PBE-GGA, Alexandria via LeMat-Bulk).

a b c (Å): 4.3471 4.3471 9.0713
angles (deg): 90.00 90.00 90.00
Space group P4/mmm (No. 123)
Symmetry-distinct sites (fractional):
Pr  0.0000  0.0000  0.0000
Sm  0.0000  0.0000  0.5000
Ge  0.5000  0.5000  0.3635
Pt  0.0000  0.5000  0.2314
Pt  0.5000  0.5000  0.0000

Summary:
The density is 13.68 g/cm3. The energy relative to the elements comes out at -7.910 eV per formula unit.